1.
{
  "formula": "KZn2CuP",
  "functional": "GGA-PBE",
  "state": "optimized geometry",
  "cell": [[6.3955, 0.0000, 0.0000], [0.0000, 6.3955, 0.0000], [0.0000, 0.0000, 6.1247]],
  "species": ["K", "Zn", "Zn", "Cu", "P"],
  "frac_coords": [[0.0000, 0.0000, 0.0000], [0.0000, 0.5000, 0.0000], [0.5000, 0.0000, 0.0000], [0.5000, 0.5000, 0.5000], [0.0000, 0.0000, 0.5000]],
  "magnetic_moment_mub_per_cell": 1.58,
  "vol_a3_per_cell": 251,
  "final_energy_ev_per_atom": -1.188
}



2.
{
  "formula": "K2Pa3CuS8",
  "functional": "GGA-PBE",
  "state": "optimized geometry",
  "cell": [[4.0192, 2.3205, 7.7966], [-4.0192, 2.3205, 7.7966], [0.0000, -4.6410, 7.7966]],
  "species": ["K", "K", "Pa", "Pa", "Pa", "Cu", "S", "S", "S", "S", "S", "S", "S", "S"],
  "frac_coords": [[0.0000, 0.0000, 0.0000], [0.3649, 0.3649, 0.3649], [0.3633, 0.3633, 0.8645], [0.3633, 0.8645, 0.3633], [0.8645, 0.3633, 0.3633], [0.8055, 0.8055, 0.8055], [0.1098, 0.1098, 0.5604], [0.1098, 0.5604, 0.1098], [0.1344, 0.1344, 0.1344], [0.1346, 0.6360, 0.6360], [0.5604, 0.1098, 0.1098], [0.5907, 0.5907, 0.5907], [0.6360, 0.1346, 0.6360], [0.6360, 0.6360, 0.1346]],
  "magnetic_moment_mub_per_cell": 2.04,
  "formation_energy_uncorrected_ev_per_atom": -1.396,
  "vol_a3_per_cell": 436
}



3.
{
  "formula": "K3Pa3CuS8",
  "functional": "GGA-PBE",
  "state": "optimized geometry",
  "cell": [[6.6418, -4.1720, 0.0000], [6.6418, 4.1720, 0.0000], [-4.1690, 0.0000, 7.4354]],
  "species": ["K", "K", "K", "Pa", "Pa", "Pa", "Cu", "S", "S", "S", "S", "S", "S", "S", "S"],
  "frac_coords": [[0.0000, 0.0000, 0.0000], [0.0000, 0.5000, 0.0000], [0.5000, 0.0000, 0.0000], [0.0000, 0.5000, 0.5000], [0.5000, 0.0000, 0.5000], [0.5000, 0.5000, 0.5000], [0.0000, 0.0000, 0.5000], [0.1990, 0.1990, 0.6663], [0.2560, 0.6974, 0.7123], [0.2621, 0.2621, 0.2947], [0.3026, 0.7440, 0.2877], [0.6974, 0.2560, 0.7123], [0.7379, 0.7379, 0.7053], [0.7440, 0.3026, 0.2877], [0.8010, 0.8010, 0.3337]],
  "magnetic_moment_mub_per_cell": 3.01,
  "formation_energy_uncorrected_ev_per_atom": -1.348,
  "vol_a3_per_cell": 412
}



4.
{
  "formula": "K2PaCuS5",
  "functional": "GGA-PBE",
  "state": "optimized geometry",
  "cell": [[2.0260, -9.7119, 0.0000], [2.0260, 9.7119, 0.0000], [0.0000, 0.0000, 13.1814]],
  "species": ["K", "K", "K", "K", "Pa", "Pa", "Cu", "Cu", "S", "S", "S", "S", "S", "S", "S", "S", "S", "S"],
  "frac_coords": [[0.1219, 0.8781, 0.5000], [0.1220, 0.8780, 0.8508], [0.8781, 0.1219, 0.0000], [0.8780, 0.1220, 0.3508], [0.2053, 0.7947, 0.1818], [0.7947, 0.2053, 0.6818], [0.4167, 0.5833, 0.5694], [0.5833, 0.4167, 0.0694], [0.0664, 0.9336, 0.1450], [0.2975, 0.7025, 0.5460], [0.3084, 0.6916, 0.8118], [0.3336, 0.6664, 0.1793], [0.4957, 0.5043, 0.4542], [0.5043, 0.4957, 0.9542], [0.6664, 0.3336, 0.6793], [0.6916, 0.3084, 0.3118], [0.7025, 0.2975, 0.0460], [0.9336, 0.0664, 0.6450]],
  "magnetic_moment_mub_per_cell": 1.69,
  "formation_energy_uncorrected_ev_per_atom": -1.023,
  "vol_a3_per_cell": 519
}



5.
{
  "formula": "KPa2Cu2S6",
  "functional": "GGA-PBE",
  "state": "optimized geometry",
  "cell": [[7.1425, 0.0000, 0.0000], [-3.5480, 6.4013, 0.0000], [-3.4710, -1.9941, 6.1618]],
  "species": ["K", "Pa", "Pa", "Cu", "Cu", "S", "S", "S", "S", "S", "S"],
  "frac_coords": [[0.0000, 0.0000, 0.0000], [0.3415, 0.6700, 0.0111], [0.6585, 0.3300, 0.9889], [0.1306, 0.6800, 0.4359], [0.8694, 0.3200, 0.5641], [0.1481, 0.4554, 0.2415], [0.2211, 0.3128, 0.7607], [0.4584, 0.9206, 0.7608], [0.5416, 0.0794, 0.2392], [0.7789, 0.6872, 0.2393], [0.8519, 0.5446, 0.7585]],
  "magnetic_moment_mub_per_cell": 1.12,
  "formation_energy_uncorrected_ev_per_atom": -1.192,
  "vol_a3_per_cell": 282
}



6.
{
  "formula": "K3PaCu2S6",
  "functional": "GGA-PBE",
  "state": "optimized geometry",
  "cell": [[3.1447, -6.9419, 0.0000], [3.1447, 6.9419, 0.0000], [-2.4720, 0.0000, 7.1055]],
  "species": ["K", "K", "K", "Pa", "Cu", "Cu", "S", "S", "S", "S", "S", "S"],
  "frac_coords": [[0.0000, 0.0000, 0.0000], [0.3199, 0.6801, 0.0000], [0.6801, 0.3199, 0.0000], [0.5000, 0.5000, 0.5000], [0.0992, 0.9008, 0.5000], [0.9008, 0.0992, 0.5000], [0.0788, 0.3601, 0.3223], [0.2687, 0.2687, 0.7350], [0.3601, 0.0788, 0.3223], [0.6399, 0.9212, 0.6777], [0.7313, 0.7313, 0.2650], [0.9212, 0.6399, 0.6777]],
  "magnetic_moment_mub_per_cell": 0.07,
  "formation_energy_uncorrected_ev_per_atom": -0.931,
  "vol_a3_per_cell": 310
}



7.
{
  "formula": "KPaCu2S4",
  "functional": "GGA-PBE",
  "state": "optimized geometry",
  "cell": [[-3.2135, 3.7330, 4.0920], [3.2135, -3.7330, 4.0920], [3.2135, 3.7330, -4.0920]],
  "species": ["K", "Pa", "Cu", "Cu", "S", "S", "S", "S"],
  "frac_coords": [[0.0000, 0.0000, 0.0000], [0.5000, 0.5000, 0.0000], [0.3446, 0.8446, 0.5000], [0.6554, 0.1554, 0.5000], [0.1291, 0.0740, 0.5775], [0.4965, 0.5515, 0.4225], [0.5035, 0.9260, 0.0551], [0.8709, 0.4485, 0.9449]],
  "magnetic_moment_mub_per_cell": 0.00,
  "formation_energy_uncorrected_ev_per_atom": -0.868,
  "vol_a3_per_cell": 196
}



8.
{
  "formula": "KPa2CuS5",
  "functional": "GGA-PBE",
  "state": "optimized geometry",
  "cell": [[-3.8193, 3.8193, 6.8051], [3.8193, -3.8193, 6.8051], [3.8193, 3.8193, -6.8051]],
  "species": ["K", "K", "Pa", "Pa", "Pa", "Pa", "Cu", "Cu", "S", "S", "S", "S", "S", "S", "S", "S", "S", "S"],
  "frac_coords": [[0.2500, 0.2500, 0.0000], [0.7500, 0.7500, 0.0000], [0.1604, 0.6604, 0.8208], [0.3396, 0.1604, 0.5000], [0.6604, 0.8396, 0.5000], [0.8396, 0.3396, 0.1792], [0.2500, 0.7500, 0.5000], [0.7500, 0.2500, 0.5000], [0.0000, 0.0000, 0.0000], [0.0190, 0.2298, 0.5000], [0.2298, 0.7298, 0.2108], [0.2702, 0.4810, 0.5000], [0.4810, 0.9810, 0.2108], [0.5000, 0.5000, 0.0000], [0.5190, 0.0190, 0.7892], [0.7298, 0.5190, 0.5000], [0.7702, 0.2702, 0.7892], [0.9810, 0.7702, 0.5000]],
  "magnetic_moment_mub_per_cell": 3.69,
  "formation_energy_uncorrected_ev_per_atom": -1.386,
  "vol_a3_per_cell": 397
}